Record 1
# CsSn3O

CsSn3O at its PBEsol-relaxed geometry (meta-GGA SCAN, Alexandria via LeMat-Bulk).

Lattice parameters (Å, degrees): 6.0978 6.0978 6.0978 90.00 90.00 90.00
Site moments in Bohr magnetons follow the coordinates.
Sites, in units of the cell vectors:
Sn1 0.5000 0.0000 0.0000  0.10
Sn2 0.0000 0.0000 0.5000  0.10
O1 0.5000 0.5000 0.5000  1.30
Cs1 0.0000 0.0000 0.0000  0.04
Sn3 0.0000 0.5000 0.0000  0.10

Results
Total magnetic moment: 2.26 μB/cell
E_form (uncorrected): 1.99 eV per atom
Total DFT energy (no corrections): -28.37 eV per atom


Record 2
# KGdMo2O8

KGdMo2O8 at its PBEsol-relaxed geometry (meta-GGA SCAN, Alexandria via LeMat-Bulk).

Lattice parameters (Å, degrees): 5.1065 7.9431 18.2334 90.00 90.00 90.00
Site moments in Bohr magnetons follow the coordinates.
Sites, in units of the cell vectors:
O1 0.7391 0.3073 0.9055  -0.02
Mo1 0.4811 0.5175 0.1016  0.01
Mo2 0.5189 0.9825 0.1016  0.01
O2 0.7391 0.8073 0.0945  -0.02
O3 0.7479 0.9955 0.9658  -0.01
O4 0.2609 0.6927 0.0945  -0.02
O5 0.2391 0.1927 0.4055  -0.02
O6 0.2391 0.6927 0.5945  -0.02
Mo3 0.4811 0.0175 0.8984  0.01
Mo4 0.0189 0.0175 0.3984  0.01
O7 0.7269 0.1596 0.1006  -0.01
Gd1 0.5000 0.7500 0.4940  6.97
O8 0.2731 0.8404 0.8994  -0.01
O9 0.2269 0.8404 0.3994  -0.01
Gd2 0.0000 0.2500 0.0060  6.97
O10 0.7609 0.8073 0.5945  -0.02
O11 0.1103 0.9780 0.6886  0.00
O12 0.1103 0.4780 0.3114  0.00
Mo5 0.0189 0.5175 0.6016  0.01
O13 0.3897 0.4780 0.8114  0.00
O14 0.7521 0.9955 0.4658  -0.01
K1 0.0000 0.7500 0.2289  0.00
K2 0.5000 0.2500 0.2711  0.00
O15 0.2731 0.3404 0.1006  -0.01
O16 0.7609 0.3073 0.4055  -0.02
O17 0.2479 0.0045 0.5342  -0.01
O18 0.6103 0.5220 0.1886  0.00
K3 0.5000 0.7500 0.7289  0.00
O19 0.2609 0.1927 0.9055  -0.02
O20 0.2479 0.5045 0.4658  -0.01
O21 0.6103 0.0220 0.8114  0.00
Mo6 0.9811 0.9825 0.6016  0.01
Gd3 0.0000 0.7500 0.9940  6.97
O22 0.7731 0.6596 0.3994  -0.01
K4 0.0000 0.2500 0.7711  0.00
O23 0.8897 0.5220 0.6886  0.00
O24 0.8897 0.0220 0.3114  0.00
O25 0.2521 0.0045 0.0342  -0.01
O26 0.3897 0.9780 0.1886  0.00
Gd4 0.5000 0.2500 0.5060  6.97
O27 0.7731 0.1596 0.6006  -0.01
O28 0.2521 0.5045 0.9658  -0.01
O29 0.2269 0.3404 0.6006  -0.01
O30 0.7521 0.4955 0.5342  -0.01
Mo7 0.5189 0.4825 0.8984  0.01
Mo8 0.9811 0.4825 0.3984  0.01
O31 0.7479 0.4955 0.0342  -0.01
O32 0.7269 0.6596 0.8994  -0.01

Results
Total magnetic moment: 27.85 μB/cell
E_form (uncorrected): -2.63 eV per atom
Total DFT energy (no corrections): -18.19 eV per atom


Record 3
# CrCo3

CrCo3 at its PBEsol-relaxed geometry (meta-GGA SCAN, Alexandria via LeMat-Bulk).

Lattice parameters (Å, degrees): 2.4551 4.2435 4.6294 117.28 105.38 90.00
Site moments in Bohr magnetons follow the coordinates.
Sites, in units of the cell vectors:
Co1 0.2507 0.2521 0.5014  1.44
Co2 0.7493 0.7507 0.4986  1.44
Cr1 0.5000 0.1656 0.0000  -1.62
Co3 0.0000 0.6648 0.0000  1.36

Results
Total magnetic moment: 2.51 μB/cell
Excess energy over the best structure of this formula in the dataset: 0.38 eV per formula unit
ΔE_f: 0.213 eV/atom
Total DFT energy (no corrections): -17.36 eV per atom


Record 4
# ScCr2Au

ScCr2Au at its PBEsol-relaxed geometry (meta-GGA SCAN, Alexandria via LeMat-Bulk).

Lattice parameters (Å, degrees): 2.7050 4.9568 5.1849 115.66 100.28 99.92
Site moments in Bohr magnetons follow the coordinates.
Sites, in units of the cell vectors:
Cr1 0.5000 0.5000 0.5000  1.07
Sc1 0.5000 0.0000 0.0000  -0.04
Cr2 0.0000 0.0000 0.5000  1.07
Au1 0.0000 0.5000 0.0000  0.05

Results
Total magnetic moment: 2.23 μB/cell
Excess energy over the best structure of this formula in the dataset: 1.86 eV per formula unit
ΔE_f: 0.283 eV/atom
Total DFT energy (no corrections): -29.76 eV per atom


Record 5
# FeCo6Tc

FeCo6Tc at its PBEsol-relaxed geometry (meta-GGA SCAN, Alexandria via LeMat-Bulk).

Lattice parameters (Å, degrees): 6.0467 6.0467 9.8732 90.00 90.00 109.41
Site moments in Bohr magnetons follow the coordinates.
Sites, in units of the cell vectors:
Co1 0.6260 0.8749 0.8755  1.38
Tc1 0.5000 0.5000 0.7465  0.30
Co2 0.1251 0.3740 0.1245  1.38
Co3 0.6253 0.8765 0.3756  1.66
Co4 0.5000 0.5000 0.5000  1.46
Co5 0.7508 0.2492 0.2504  1.44
Co6 0.2492 0.7508 0.7496  1.44
Co7 0.8749 0.6260 0.1245  1.38
Fe1 0.2502 0.7498 0.5000  2.92
Co8 0.6260 0.8749 0.1245  1.38
Co9 0.8749 0.6260 0.8755  1.38
Co10 0.6253 0.8765 0.6244  1.66
Tc2 0.7475 0.2525 0.0000  0.22
Co11 0.5000 0.5000 0.0000  -1.33
Co12 0.1235 0.3747 0.6244  1.66
Fe2 0.0000 0.0000 0.2528  2.96
Fe3 0.0000 0.0000 0.7472  2.96
Fe4 0.7498 0.2502 0.5000  2.92
Co13 0.3740 0.1251 0.8755  1.38
Co14 0.1235 0.3747 0.3756  1.66
Co15 0.3747 0.1235 0.3756  1.66
Tc3 0.2525 0.7475 0.0000  0.22
Co16 0.3747 0.1235 0.6244  1.66
Co17 0.2492 0.7508 0.2504  1.44
Co18 0.0000 0.0000 0.0000  1.67
Co19 0.8765 0.6253 0.3756  1.66
Co20 0.3740 0.1251 0.1245  1.38
Co21 0.0000 0.0000 0.5000  1.75
Co22 0.1251 0.3740 0.8755  1.38
Co23 0.7508 0.2492 0.7496  1.44
Co24 0.8765 0.6253 0.6244  1.66
Tc4 0.5000 0.5000 0.2535  0.30

Results
Total magnetic moment: 45.79 μB/cell
ΔE_f: 0.136 eV/atom
Total DFT energy (no corrections): -19.49 eV per atom


Record 6
# YScTlGa2

YScTlGa2 at its PBEsol-relaxed geometry (meta-GGA SCAN, Alexandria via LeMat-Bulk).

Lattice parameters (Å, degrees): 5.1312 5.1312 5.2946 90.00 90.00 90.00
Site moments in Bohr magnetons follow the coordinates.
Sites, in units of the cell vectors:
Ga1 0.5000 0.0000 0.0000  -0.01
Tl1 0.0000 0.0000 0.0000  0.01
Sc1 0.0000 0.0000 0.5000  0.40
Y1 0.5000 0.5000 0.5000  0.31
Ga2 0.0000 0.5000 0.0000  -0.01

Results
Total magnetic moment: 1.12 μB/cell
ΔE_f: 0.454 eV/atom
Total DFT energy (no corrections): -28.97 eV per atom


Record 7
# AlZnAu

AlZnAu at its PBEsol-relaxed geometry (meta-GGA SCAN, Alexandria via LeMat-Bulk).

Lattice parameters (Å, degrees): 3.4254 3.4254 4.6461 111.63 111.63 90.00
Sites, in units of the cell vectors:
Zn1 0.3319 0.3319 0.6639
Al1 0.0027 0.0027 0.0055
Au1 0.6653 0.6653 0.3306

Results
Total magnetic moment: 0.00 μB/cell
ΔE_f: -0.380 eV/atom
Total DFT energy (no corrections): -30.52 eV per atom


Record 8
# Ga3IF

Ga3IF at its PBEsol-relaxed geometry (meta-GGA SCAN, Alexandria via LeMat-Bulk).

Lattice parameters (Å, degrees): 5.9639 5.9639 5.9639 90.00 90.00 90.00
Sites, in units of the cell vectors:
I1 0.0000 0.0000 0.0000
Ga1 0.5000 0.0000 0.0000
Ga2 0.0000 0.0000 0.5000
Ga3 0.0000 0.5000 0.0000
F1 0.5000 0.5000 0.5000

Results
Total magnetic moment: 0.00 μB/cell
Excess energy over the best structure of this formula in the dataset: 3.82 eV per formula unit
E_form (uncorrected): 0.43 eV per atom
Total DFT energy (no corrections): -17.43 eV per atom


Record 9
# SrEuTl2

SrEuTl2 at its PBEsol-relaxed geometry (meta-GGA SCAN, Alexandria via LeMat-Bulk).

Lattice parameters (Å, degrees): 5.5775 5.5775 5.5775 60.00 60.00 60.00
Site moments in Bohr magnetons follow the coordinates.
Sites, in units of the cell vectors:
Tl1 0.7500 0.7500 0.7500  0.01
Sr1 0.0000 0.0000 0.0000  0.00
Tl2 0.2500 0.2500 0.2500  0.01
Eu1 0.5000 0.5000 0.5000  6.90

Results
Total magnetic moment: 7.17 μB/cell
ΔE_f: -0.632 eV/atom
Total DFT energy (no corrections): -55.81 eV per atom